Compound: BaTePb2
Source: the Alexandria database
Functional: meta-GGA SCAN
Structure: single point on PBEsol structure

a b c (Å): 6.6454 7.2030 5.9634
angles (deg): 90.00 90.00 90.00
Space group Cmmm (No. 65)
Symmetry-distinct sites (fractional):
Ba (0.0000, 0.0000, 0.0000) (multiplicity 2)
Te (0.0000, 0.5000, 0.0000) (multiplicity 2)
Pb (0.0000, 0.2924, 0.5000) (multiplicity 4)

formation energy (no corrections) = -0.68 eV/atom
crystal system = orthorhombic



Compound: BaTe2Pb
Source: the Alexandria database
Functional: meta-GGA SCAN
Structure: single point on PBEsol structure

a b c (Å): 4.7531 4.7531 6.8058
angles (deg): 90.00 90.00 90.00
Space group P4mm (No. 99)
Symmetry-distinct sites (fractional):
Ba (0.0000, 0.0000, 0.0000) (multiplicity 1)
Te (0.0000, 0.0000, 0.5021) (multiplicity 1)
Te (0.5000, 0.5000, 0.9824) (multiplicity 1)
Pb (0.5000, 0.5000, 0.5286) (multiplicity 1)

formation energy (no corrections) = -1.14 eV/atom
crystal system = tetragonal



Compound: BaTe2Pb
Source: the Alexandria database
Functional: meta-GGA SCAN
Structure: single point on PBEsol structure

a b c (Å): 4.7316 4.7316 23.3380
angles (deg): 90.00 90.00 120.00
Space group R-3m (No. 166, hexagonal axes)
Symmetry-distinct sites (fractional):
Ba (0.0000, 0.0000, 0.0000) (multiplicity 3)
Te (0.0000, 0.0000, 0.2438) (multiplicity 6)
Pb (0.0000, 0.0000, 0.5000) (multiplicity 3)

formation energy (no corrections) = -1.15 eV/atom
crystal system = trigonal



Compound: BaTiPb3
Source: the Alexandria database
Functional: meta-GGA SCAN
Structure: single point on PBEsol structure

a b c (Å): 5.3963 5.3963 5.3963
angles (deg): 90.00 90.00 90.00
Space group Pm-3m (No. 221)
Symmetry-distinct sites (fractional):
Ba (0.0000, 0.0000, 0.0000) (multiplicity 1)
Ti (0.5000, 0.5000, 0.5000) (multiplicity 1)
Pb (0.0000, 0.5000, 0.5000) (multiplicity 3)

formation enthalpy at 0 K = -0.4520 eV/atom
crystal system = cubic



Compound: BaTlPb2
Source: the Alexandria database
Functional: meta-GGA SCAN
Structure: single point on PBEsol structure

a b c (Å): 10.1820 4.7025 5.9711
angles (deg): 90.00 110.91 90.00
Space group Cm (No. 8)
Symmetry-distinct sites (fractional):
Ba (0.0000, 0.0000, 0.0000) (multiplicity 2)
Tl (0.2611, 0.5000, 0.2989) (multiplicity 2)
Pb (0.0043, 0.5000, 0.4986) (multiplicity 2)
Pb (0.2376, 0.0000, 0.6786) (multiplicity 2)

formation enthalpy at 0 K = -0.4499 eV/atom
crystal system = monoclinic



Compound: BaTl2Pb
Source: the Alexandria database
Functional: meta-GGA SCAN
Structure: single point on PBEsol structure

a b c (Å): 5.4536 5.4536 8.5219
angles (deg): 90.00 90.00 90.00
Space group I4/mmm (No. 139)
Symmetry-distinct sites (fractional):
Ba (0.0000, 0.0000, 0.0000) (multiplicity 2)
Tl (0.0000, 0.5000, 0.2500) (multiplicity 4)
Pb (0.0000, 0.0000, 0.5000) (multiplicity 2)

formation enthalpy at 0 K = -0.4363 eV/atom
crystal system = tetragonal